Record 1
{"formula": "TaTl3O4", "functional": "PBE-GGA", "state": "optimized geometry", "lattice_angstrom": [[8.857, 0.000, 0.000], [0.000, 8.869, 0.000], [0.000, 0.000, 9.094]], "species": ["O", "O", "O", "O", "O", "O", "O", "O", "O", "O", "O", "O", "O", "O", "O", "O", "Tl", "Tl", "Tl", "Tl", "Tl", "Tl", "Tl", "Tl", "Tl", "Tl", "Tl", "Tl", "Ta", "Ta", "Ta", "Ta"], "frac_coords": [[0.025, 0.436, 0.250], [0.323, 0.467, 0.420], [0.525, 0.064, 0.250], [0.177, 0.967, 0.580], [0.800, 0.265, 0.750], [0.200, 0.735, 0.250], [0.823, 0.033, 0.420], [0.677, 0.533, 0.580], [0.300, 0.235, 0.750], [0.823, 0.033, 0.080], [0.677, 0.533, 0.920], [0.475, 0.936, 0.750], [0.323, 0.467, 0.080], [0.700, 0.765, 0.250], [0.177, 0.967, 0.920], [0.975, 0.564, 0.750], [0.986, 0.770, 0.496], [0.014, 0.230, 0.504], [0.014, 0.230, 0.996], [0.746, 0.486, 0.250], [0.246, 0.014, 0.250], [0.754, 0.986, 0.750], [0.486, 0.730, 0.004], [0.486, 0.730, 0.496], [0.514, 0.270, 0.996], [0.254, 0.514, 0.750], [0.514, 0.270, 0.504], [0.986, 0.770, 0.004], [0.218, 0.524, 0.250], [0.282, 0.024, 0.750], [0.782, 0.476, 0.750], [0.718, 0.976, 0.250]], "e_form_raw_kcal_per_mol_atoms": -37.33, "space_group": "Pnma, No. 62"}

---

Record 2
{"formula": "Rb3Pa2I2O5", "functional": "PBE-GGA", "state": "optimized geometry", "lattice_angstrom": [[-2.251, 3.868, -0.475], [-3.249, -1.560, 2.695], [9.736, 4.339, 10.491]], "species": ["O", "O", "O", "O", "O", "Rb", "Rb", "Rb", "I", "I", "Pa", "Pa"], "frac_coords": [[0.577, 0.077, 0.154], [0.077, 0.577, 0.154], [0.423, 0.923, 0.846], [0.923, 0.423, 0.846], [0.500, 0.500, 0.000], [0.150, 0.150, 0.301], [0.850, 0.850, 0.699], [0.000, 0.000, 0.000], [0.691, 0.691, 0.382], [0.309, 0.309, 0.618], [0.574, 0.574, 0.149], [0.426, 0.426, 0.851]], "e_form_raw_kcal_per_mol_atoms": -57.31, "space_group": "I4/mmm, No. 139"}

---

Record 3
{"formula": "K2ScRu", "functional": "PBE-GGA", "state": "optimized geometry", "lattice_angstrom": [[6.681, 0.020, 0.000], [-4.408, 5.020, 0.000], [0.000, 0.000, 3.252]], "species": ["Ru", "K", "K", "Sc"], "frac_coords": [[0.500, 0.000, 0.500], [0.000, 0.000, 0.000], [0.500, 0.500, 0.000], [0.000, 0.500, 0.500]], "space_group": "Cmmm, No. 65"}

---

Record 4
{"formula": "Hf6VFe", "functional": "PBE-GGA", "state": "optimized geometry", "lattice_angstrom": [[5.843, -0.371, -0.389], [-2.518, 5.286, -0.389], [-1.011, -1.494, 5.725]], "species": ["Fe", "Hf", "Hf", "Hf", "Hf", "Hf", "Hf", "V"], "frac_coords": [[0.500, 0.500, 0.500], [0.931, 0.536, 0.749], [0.536, 0.931, 0.749], [0.737, 0.737, 0.262], [0.263, 0.263, 0.738], [0.464, 0.069, 0.251], [0.069, 0.464, 0.251], [0.000, 0.000, 0.000]], "space_group": "C2/m, No. 12"}

---

| no. | VASP energy (eV per atom) | DOS at the Fermi energy (states/eV/atom) | size of the total moment (μB per formula unit) |
| --- | --- | --- | --- |
| 1 | -6.4670 | 0.00 | 0.0 |
| 2 | -6.6339 | 0.55 | 1.0 |
| 3 | -3.4172 | 0.92 | 1.2 |
| 4 | -9.3490 | 1.16 | 0.0 |